NaMgAl | PBE-GGA | relaxed

Values from the calculation:
total magnetic moment	0.00	μB per formula unit
energy relative to the lowest polymorph listed for this composition	72	meV per atom
ΔH_f (0 K)	0.16	eV per atom
DOS at the Fermi energy	0.968	states/eV per cell
V	24.2	A^3/atom

a = 3.5358 Å, b = 3.5358 Å, c = 6.3194 Å
α = 106.25°, β = 106.25°, γ = 90.00°
Closest atoms and distances in Å follow each position.
Fractional positions:
Na 0.9917 0.9917 0.9834  4 Al 3.23, 5 Mg 3.41-3.48, 4 Na 3.54
Mg 0.6921 0.6921 0.3842  4 Al 2.89
Al 0.3162 0.3162 0.6324  4 Mg 2.89, 4 Na 3.23